Record 1
The following is a PBE calculation of an optimized crystal structure of AlGeP2S, from Alexandria.

Unit cell a=4.646 b=4.646 c=4.655 alpha=90.00 beta=90.00 gamma=90.00
Sites, in units of the cell vectors:
P 0.000 0.500 0.000
P 0.500 0.000 0.000
Ge 0.500 0.500 0.500
S 0.000 0.000 0.500
Al 0.000 0.000 0.000

**Distance to the lowest polymorph of the same formula**: 0 meV/atom
**SG**: P4/mmm (123)
**Formation energy from raw total energies**: 2.55 eV/f.u.

---

Record 2
The following is a PBE calculation of an optimized crystal structure of Sr2AlGeP, from Alexandria.

Unit cell a=4.283 b=7.567 c=9.361 alpha=107.10 beta=90.00 gamma=90.00
Sites, in units of the cell vectors:
Sr 0.750 0.821 0.600
Sr 0.750 0.770 0.036
Sr 0.250 0.179 0.400
Sr 0.250 0.230 0.964
Al 0.250 0.508 0.731
Al 0.750 0.492 0.269
Ge 0.250 0.682 0.304
Ge 0.750 0.318 0.696
P 0.250 0.824 0.824
P 0.750 0.176 0.176

**Formation energy**: -0.727 eV/atom
**SG**: P2_1/m (11)

---

Record 3
The following is a PBE calculation of an optimized crystal structure of AlTcGe2P, from Alexandria.

Unit cell a=4.763 b=4.839 c=4.763 alpha=90.00 beta=90.00 gamma=90.00
Sites, in units of the cell vectors:
P 0.500 0.500 0.500
Ge 0.000 0.000 0.500
Ge 0.500 0.000 0.000
Tc 0.000 0.000 0.000
Al 0.000 0.500 0.000

**Formation energy**: 0.583 eV/atom
**SG**: P4/mmm (123)

---

Record 4
The following is a PBE calculation of an optimized crystal structure of AlVGe2P, from Alexandria.

Unit cell a=4.688 b=4.763 c=4.688 alpha=90.00 beta=90.00 gamma=90.00
Sites, in units of the cell vectors:
P 0.500 0.500 0.500
Ge 0.000 0.000 0.500
Ge 0.500 0.000 0.000
Al 0.000 0.000 0.000
V 0.000 0.500 0.000

**Formation energy**: 1.149 eV/atom
**SG**: P4/mmm (123)

---

Record 5
The following is a PBE calculation of an optimized crystal structure of AlGePW2, from Alexandria.

Unit cell a=4.712 b=4.478 c=4.712 alpha=90.00 beta=90.00 gamma=90.00
Sites, in units of the cell vectors:
P 0.000 0.500 0.000
Ge 0.000 0.000 0.000
Al 0.500 0.500 0.500
W 0.000 0.000 0.500
W 0.500 0.000 0.000

**Formation energy**: 1.675 eV/atom
**SG**: P4/mmm (123)

---

Record 6
The following is a PBE calculation of an optimized crystal structure of Pa3Al4Ge3, from Alexandria.

Unit cell a=8.173 b=8.173 c=8.173 alpha=109.47 beta=109.47 gamma=109.47
Sites, in units of the cell vectors:
Pa 0.625 0.750 0.875
Pa 0.875 0.250 0.625
Pa 0.125 0.375 0.250
Pa 0.375 0.125 0.750
Pa 0.250 0.875 0.125
Pa 0.750 0.625 0.375
Al 0.000 0.000 0.310
Al 0.500 0.310 0.500
Al 0.690 0.190 0.190
Al 0.000 0.000 0.810
Al 0.810 0.500 0.000
Al 0.500 0.810 0.500
Al 0.310 0.500 0.000
Al 0.190 0.690 0.690
Ge 0.125 0.750 0.375
Ge 0.375 0.250 0.125
Ge 0.625 0.875 0.250
Ge 0.875 0.625 0.750
Ge 0.250 0.375 0.625
Ge 0.750 0.125 0.875

**Formation energy**: -0.178 eV/atom
**SG**: I-43d (220)

---

Record 7
The following is a PBE calculation of an optimized crystal structure of Pa5AlGe3, from Alexandria.

Unit cell a=6.032 b=8.801 c=8.801 alpha=120.00 beta=90.00 gamma=90.00
Sites, in units of the cell vectors:
Pa 0.000 0.333 0.667
Pa 0.500 0.667 0.333
Pa 0.000 0.667 0.333
Pa 0.500 0.333 0.667
Pa 0.750 0.706 0.000
Pa 0.750 0.294 0.294
Pa 0.750 0.000 0.706
Pa 0.250 0.294 0.000
Pa 0.250 0.706 0.706
Pa 0.250 0.000 0.294
Al 0.000 0.000 0.000
Al 0.500 0.000 0.000
Ge 0.750 0.367 0.000
Ge 0.750 0.633 0.633
Ge 0.750 0.000 0.367
Ge 0.250 0.633 0.000
Ge 0.250 0.367 0.367
Ge 0.250 0.000 0.633

**Formation energy**: -0.386 eV/atom
**SG**: P6_3/mcm (193)

---

Record 8
The following is a PBE calculation of an optimized crystal structure of PaAl4Ge, from Alexandria.

Unit cell a=5.437 b=5.437 c=5.437 alpha=60.00 beta=60.00 gamma=60.00
Sites, in units of the cell vectors:
Ge 0.000 0.000 0.000
Pa 0.250 0.250 0.250
Al 0.625 0.625 0.125
Al 0.625 0.125 0.625
Al 0.625 0.625 0.625
Al 0.125 0.625 0.625

**Formation energy**: -0.012 eV/atom
**SG**: F-43m (216)

---

Record 9
The following is a PBE calculation of an optimized crystal structure of Pa2AlGe3, from Alexandria.

Unit cell a=5.337 b=7.289 c=7.289 alpha=113.13 beta=90.00 gamma=90.00
Sites, in units of the cell vectors:
Pa 0.750 0.428 0.194
Pa 0.250 0.572 0.806
Pa 0.250 0.806 0.572
Pa 0.750 0.194 0.428
Al 0.750 0.955 0.955
Al 0.250 0.045 0.045
Ge 0.250 0.359 0.359
Ge 0.750 0.641 0.641
Ge 0.500 0.200 0.800
Ge 0.000 0.200 0.800
Ge 0.500 0.800 0.200
Ge 0.000 0.800 0.200

**Formation energy**: -0.215 eV/atom
**Distance to the lowest polymorph of the same formula**: 96 meV/atom
**SG**: Cmcm (63)

---

Record 10
The following is a PBE calculation of an optimized crystal structure of Pa3AlGe4, from Alexandria.

Unit cell a=4.301 b=4.301 c=11.469 alpha=79.19 beta=79.19 gamma=60.00
Sites, in units of the cell vectors:
Pa 0.738 0.738 0.785
Pa 0.500 0.500 0.500
Pa 0.262 0.262 0.215
Al 0.000 0.000 0.000
Ge 0.640 0.640 0.080
Ge 0.881 0.881 0.358
Ge 0.360 0.360 0.920
Ge 0.119 0.119 0.642

**Formation energy**: -0.319 eV/atom
**SG**: R-3m (166)

---

Record 11
The following is a PBE calculation of an optimized crystal structure of Pa3AlGe, from Alexandria.

Unit cell a=5.422 b=5.422 c=10.315 alpha=74.76 beta=74.76 gamma=60.00
Sites, in units of the cell vectors:
Pa 0.084 0.421 0.745
Pa 0.751 0.084 0.745
Pa 0.579 0.249 0.255
Pa 0.249 0.916 0.255
Pa 0.916 0.579 0.255
Pa 0.421 0.751 0.745
Al 0.333 0.333 0.000
Al 0.667 0.667 0.000
Ge 0.167 0.167 0.500
Ge 0.833 0.833 0.500

**Formation energy**: 0.123 eV/atom
**SG**: R-3 (148)

---

Record 12
The following is a PBE calculation of an optimized crystal structure of Pa2AlGe3, from Alexandria.

Unit cell a=4.316 b=3.841 c=7.519 alpha=90.00 beta=90.00 gamma=90.00
Sites, in units of the cell vectors:
Pa 0.500 0.000 0.009
Pa 0.000 0.000 0.490
Al 0.500 0.500 0.670
Ge 0.000 0.500 0.163
Ge 0.000 0.500 0.822
Ge 0.500 0.500 0.345

**Formation energy**: -0.311 eV/atom
**Distance to the lowest polymorph of the same formula**: 0 meV/atom
**SG**: Pmm2 (25)

---

Record 13
The following is a PBE calculation of an optimized crystal structure of Pa2Al2GeRu5, from Alexandria.

Unit cell a=3.484 b=9.816 c=9.816 alpha=90.00 beta=90.00 gamma=90.00
Sites, in units of the cell vectors:
Pa 0.000 0.677 0.177
Pa 0.000 0.323 0.823
Pa 0.000 0.177 0.323
Pa 0.000 0.823 0.677
Al 0.000 0.122 0.622
Al 0.000 0.878 0.378
Al 0.000 0.622 0.878
Al 0.000 0.378 0.122
Ge 0.000 0.000 0.000
Ge 0.000 0.500 0.500
Ru 0.500 0.199 0.083
Ru 0.500 0.801 0.917
Ru 0.500 0.083 0.801
Ru 0.500 0.699 0.417
Ru 0.500 0.917 0.199
Ru 0.500 0.301 0.583
Ru 0.500 0.583 0.699
Ru 0.500 0.417 0.301
Ru 0.500 0.500 0.000
Ru 0.500 0.000 0.500

**Formation energy**: -0.439 eV/atom
**SG**: P4/mbm (127)

---

Record 14
The following is a PBE calculation of an optimized crystal structure of PaAlSnGe, from Alexandria.

Unit cell a=4.287 b=4.675 c=4.282 alpha=90.00 beta=90.00 gamma=90.00
Sites, in units of the cell vectors:
Pa 0.500 0.000 0.500
Al 0.000 0.500 0.500
Sn 0.500 0.500 0.000
Ge 0.000 0.000 0.000

**Formation energy**: -0.348 eV/atom
**SG**: Pmmm (47)

---

Record 15
The following is a PBE calculation of an optimized crystal structure of Al2GePb, from Alexandria.

Unit cell a=4.979 b=4.979 c=4.979 alpha=60.00 beta=60.00 gamma=60.00
Sites, in units of the cell vectors:
Pb 0.500 0.500 0.500
Ge 0.000 0.000 0.000
Al 0.250 0.250 0.250
Al 0.750 0.750 0.750

**Formation energy**: 0.310 eV/atom
**Distance to the lowest polymorph of the same formula**: 0 meV/atom
**SG**: Fm-3m (225)

---

Record 16
The following is a PBE calculation of an optimized crystal structure of Al3GePb, from Alexandria.

Unit cell a=5.335 b=5.335 c=5.335 alpha=90.00 beta=90.00 gamma=90.00
Sites, in units of the cell vectors:
Pb 0.000 0.000 0.000
Ge 0.500 0.500 0.500
Al 0.000 0.500 0.000
Al 0.000 0.000 0.500
Al 0.500 0.000 0.000

**Formation energy**: 1.130 eV/atom
**Distance to the lowest polymorph of the same formula**: 623 meV/atom
**SG**: Pm-3m (221)

---

Record 17
The following is a PBE calculation of an optimized crystal structure of Al2GePb2, from Alexandria.

Unit cell a=6.813 b=6.813 c=5.246 alpha=90.00 beta=90.00 gamma=90.00
Sites, in units of the cell vectors:
Pb 0.181 0.681 0.500
Pb 0.681 0.819 0.500
Pb 0.819 0.319 0.500
Pb 0.319 0.181 0.500
Ge 0.000 0.000 0.000
Ge 0.500 0.500 0.000
Al 0.362 0.862 0.000
Al 0.862 0.638 0.000
Al 0.638 0.138 0.000
Al 0.138 0.362 0.000

**Formation energy**: 0.181 eV/atom
**Distance to the lowest polymorph of the same formula**: 0 meV/atom
**SG**: P4/mbm (127)

---

Record 18
The following is a PBE calculation of an optimized crystal structure of Al3Ge3Pb, from Alexandria.

Unit cell a=7.079 b=7.079 c=7.079 alpha=90.00 beta=90.00 gamma=90.00
Sites, in units of the cell vectors:
Pb 0.500 0.500 0.500
Pb 0.000 0.000 0.000
Ge 0.000 0.250 0.500
Ge 0.000 0.750 0.500
Ge 0.500 0.000 0.750
Ge 0.750 0.500 0.000
Ge 0.500 0.000 0.250
Ge 0.250 0.500 0.000
Al 0.250 0.000 0.500
Al 0.000 0.500 0.250
Al 0.500 0.750 0.000
Al 0.750 0.000 0.500
Al 0.000 0.500 0.750
Al 0.500 0.250 0.000

**Formation energy**: 0.300 eV/atom
**SG**: Pm-3n (223)

---

Record 19
The following is a PBE calculation of an optimized crystal structure of Al2GePb, from Alexandria.

Unit cell a=6.373 b=6.373 c=7.191 alpha=63.70 beta=63.70 gamma=90.00
Sites, in units of the cell vectors:
Pb 0.000 0.000 0.000
Pb 0.750 0.250 0.500
Ge 0.500 0.500 0.000
Ge 0.250 0.750 0.500
Al 0.578 0.125 0.250
Al 0.172 0.625 0.250
Al 0.375 0.422 0.750
Al 0.875 0.828 0.750

**Formation energy**: 0.349 eV/atom
**Distance to the lowest polymorph of the same formula**: 39 meV/atom
**SG**: I-42d (122)

---

Record 20
The following is a PBE calculation of an optimized crystal structure of Al2GePb2, from Alexandria.

Unit cell a=8.689 b=8.689 c=3.357 alpha=90.00 beta=90.00 gamma=90.00
Sites, in units of the cell vectors:
Pb 0.313 0.813 0.000
Pb 0.813 0.687 0.000
Pb 0.687 0.187 0.000
Pb 0.187 0.313 0.000
Ge 0.000 0.000 0.000
Ge 0.500 0.500 0.000
Al 0.111 0.611 0.500
Al 0.611 0.889 0.500
Al 0.889 0.389 0.500
Al 0.389 0.111 0.500

**Formation energy**: 0.395 eV/atom
**Distance to the lowest polymorph of the same formula**: 214 meV/atom
**SG**: P4/mbm (127)